[1]
! PBE-GGA Rb2TmB2S6, relaxed; values from VASP
! formation energy without anion corrections = -964 meV per atom
! E_tot = -55.1 eV/cell
&SYSTEM
  ibrav = 0, nat = 11, ntyp = 4
/
ATOMIC_SPECIES
S 32.06 S.upf
B 10.81 B.upf
Tm 168.93 Tm.upf
Rb 85.47 Rb.upf
CELL_PARAMETERS angstrom
-0.2801 4.5517 -4.8925
-0.9148 -6.4773 -1.4023
-6.7165 3.5734 3.7091
ATOMIC_POSITIONS angstrom
S -1.8755 1.9392 -0.2291
S -5.8869 -2.7118 0.2451
S -5.5679 2.7403 -1.7034
B -2.1102 0.2306 0.3354
Tm -3.4983 4.0626 -0.5917
S -2.0244 4.3596 -2.8307
Rb -1.5297 0.9925 -3.5606
S -6.0359 -0.2914 -2.3565
Rb -6.3816 0.6553 0.9750
B -5.8011 1.4172 -2.9210
S -2.3434 -1.0925 -0.8822

---

[2]
! PBE-GGA Rb2UBS5, relaxed; values from VASP
! formation energy without anion corrections = -983 meV per atom
! E_tot = -98.8 eV/cell
&SYSTEM
  ibrav = 0, nat = 18, ntyp = 4
/
ATOMIC_SPECIES
Rb 85.47 Rb.upf
S 32.06 S.upf
B 10.81 B.upf
U 238.03 U.upf
CELL_PARAMETERS angstrom
4.0251 0.0000 0.0000
-2.0126 9.2528 0.0000
0.0000 0.0000 14.2371
ATOMIC_POSITIONS angstrom
Rb 0.0000 2.2341 4.8912
S 2.0126 8.3382 7.0324
B 0.0000 7.8056 5.7007
S 0.0000 5.8208 0.1804
S 2.0126 3.3773 2.1927
B 2.0126 1.4472 12.8193
Rb 0.0000 2.2799 9.6785
Rb 2.0126 7.0188 12.0098
S 0.0000 8.9253 4.3599
S 2.0126 3.4320 7.2990
S 2.0126 3.2871 12.8047
S 2.0126 0.3275 11.4784
S 0.0000 5.8755 9.3112
U 0.0000 3.3852 0.4834
U 2.0126 5.8676 7.6019
S 0.0000 0.9146 14.1509
Rb 2.0126 6.9730 2.5599
S 0.0000 5.9657 5.6861

---

[3]
! PBE-GGA RbUBS4, relaxed; values from VASP
! formation energy without anion corrections = -1072 meV per atom
! E_tot = -85.9 eV/cell
&SYSTEM
  ibrav = 0, nat = 14, ntyp = 4
/
ATOMIC_SPECIES
U 238.03 U.upf
Rb 85.47 Rb.upf
S 32.06 S.upf
B 10.81 B.upf
CELL_PARAMETERS angstrom
5.9826 0.0000 -0.2625
0.0000 6.3501 0.0000
-2.7140 0.0000 8.7931
ATOMIC_POSITIONS angstrom
U -0.0809 1.5875 4.7791
Rb 1.7826 4.7626 8.0373
S -1.8839 0.0351 6.2030
S -1.8839 3.1400 6.2030
S 0.8241 4.7626 4.7458
S 5.1525 3.2101 2.3276
B 2.9728 1.5875 5.6697
B 0.2957 4.7626 2.8608
S 5.1525 6.3150 2.3276
S 1.7635 4.7626 1.6106
S 2.4444 1.5875 3.7848
Rb 1.4860 1.5875 0.4933
S 1.5051 1.5875 6.9200
U 3.3495 4.7626 3.7515

---

[4]
! PBE-GGA RbV2BS, relaxed; values from VASP
! formation energy without anion corrections = 880 meV per atom
! E_tot = -25.6 eV/cell
&SYSTEM
  ibrav = 0, nat = 5, ntyp = 4
/
ATOMIC_SPECIES
S 32.06 S.upf
V 50.94 V.upf
Rb 85.47 Rb.upf
B 10.81 B.upf
CELL_PARAMETERS angstrom
-1.3016 -2.0024 3.6431
-0.5927 -4.4083 -2.6348
4.1270 -1.0810 0.8803
ATOMIC_POSITIONS angstrom
S -0.2964 -2.2041 -1.3174
V -0.6508 -1.0012 1.8215
Rb 1.1164 -3.7459 0.9443
B 0.0000 0.0000 0.0000
V 2.0635 -0.5405 0.4401

---

[5]
! PBE-GGA Rb2VBS4, relaxed; values from VASP
! formation energy without anion corrections = -866 meV per atom
! E_tot = -82.3 eV/cell
&SYSTEM
  ibrav = 0, nat = 16, ntyp = 4
/
ATOMIC_SPECIES
Rb 85.47 Rb.upf
B 10.81 B.upf
S 32.06 S.upf
V 50.94 V.upf
CELL_PARAMETERS angstrom
-2.1743 0.1637 5.2183
-4.2598 -5.6313 1.4664
8.2807 -5.9389 6.7013
ATOMIC_POSITIONS angstrom
Rb -2.9369 -3.5307 6.5488
B -1.0872 0.0819 2.6092
Rb 3.6963 -7.7939 9.4464
S 6.2392 -6.2858 7.6620
Rb 1.1423 -1.9679 6.6671
S 2.4211 -5.3154 7.0370
S -3.4957 -5.1882 3.5713
V 0.0000 0.0000 0.0000
S 1.5738 -4.2618 4.1222
V 0.3797 -5.6623 7.9976
S 0.0825 -7.1303 9.7203
S -0.3845 -6.1054 5.8927
Rb 4.9641 -3.8073 5.2525
B 1.4668 -5.7442 5.3885
S 2.1437 -9.9385 11.6635
S -1.1941 -1.4005 3.8754

---

[6]
! PBE-GGA RbY2B2S6, relaxed; values from VASP
! formation energy without anion corrections = -1080 meV per atom
! E_tot = -63.9 eV/cell
&SYSTEM
  ibrav = 0, nat = 11, ntyp = 4
/
ATOMIC_SPECIES
Rb 85.47 Rb.upf
S 32.06 S.upf
B 10.81 B.upf
Y 88.91 Y.upf
CELL_PARAMETERS angstrom
-3.1121 6.3119 -0.0154
-6.1523 0.8949 3.9971
6.1073 3.0236 2.7281
ATOMIC_POSITIONS angstrom
Rb 1.4976 4.6678 1.3564
S 0.0231 5.6815 4.9106
B -0.1413 3.8701 4.8744
S -1.7771 3.0638 5.0866
Y -3.5403 2.1833 3.0955
S -1.7160 9.2104 4.8968
S -1.3800 7.1666 1.6232
B -3.0158 6.3603 1.8355
S -3.1802 4.5489 1.7992
S -1.4410 1.0200 1.8131
Y 0.3832 8.0471 3.6144

---

[7]
! PBE-GGA Rb2YB2S6, relaxed; values from VASP
! formation energy without anion corrections = -968 meV per atom
! E_tot = -57.2 eV/cell
&SYSTEM
  ibrav = 0, nat = 11, ntyp = 4
/
ATOMIC_SPECIES
S 32.06 S.upf
Rb 85.47 Rb.upf
B 10.81 B.upf
Y 88.91 Y.upf
CELL_PARAMETERS angstrom
6.7247 0.0000 0.0000
-3.3623 5.8245 -0.2146
0.0000 -3.5883 7.7328
ATOMIC_POSITIONS angstrom
S -1.7960 3.0623 5.4760
S 1.5663 -0.8261 2.0422
S 1.7960 3.0623 5.4760
Rb 0.0000 0.2521 6.5326
Rb 3.3623 1.9841 0.9855
B 3.3623 2.1525 5.3880
S 5.1584 -0.8261 2.0422
S 3.3624 0.3484 5.5697
S 0.0000 1.8878 1.9485
Y 3.3623 -1.7941 3.8664
B 0.0000 0.0837 2.1302

---

[8]
! PBE-GGA RbZrB2S, relaxed; values from VASP
! formation energy without anion corrections = 2386 meV per atom
! E_tot = -15.1 eV/cell
&SYSTEM
  ibrav = 0, nat = 5, ntyp = 4
/
ATOMIC_SPECIES
S 32.06 S.upf
B 10.81 B.upf
Rb 85.47 Rb.upf
Zr 91.22 Zr.upf
CELL_PARAMETERS angstrom
4.3167 0.0000 0.0000
0.0000 5.5213 0.0000
0.0000 0.0000 4.3167
ATOMIC_POSITIONS angstrom
S 0.0000 2.7606 0.0000
B 2.1584 0.0000 0.0000
B 0.0000 0.0000 2.1584
Rb 0.0000 0.0000 0.0000
Zr 2.1584 2.7606 2.1584

---

[9]
! PBE-GGA Rb2ZrB2S6, relaxed; values from VASP
! formation energy without anion corrections = -920 meV per atom
! E_tot = -58.7 eV/cell
&SYSTEM
  ibrav = 0, nat = 11, ntyp = 4
/
ATOMIC_SPECIES
Zr 91.22 Zr.upf
B 10.81 B.upf
S 32.06 S.upf
Rb 85.47 Rb.upf
CELL_PARAMETERS angstrom
6.6100 0.0000 0.0000
-3.3050 5.6817 -0.1521
0.0000 -3.4085 7.4550
ATOMIC_POSITIONS angstrom
Zr 3.3050 -1.7042 3.7275
B 3.3050 2.4371 5.0492
S 3.3050 0.6698 4.6496
S 0.0000 1.6034 2.6533
B 0.0000 -0.1638 2.2537
S 1.7564 4.6054 1.7554
Rb 3.3050 1.7188 1.2208
S 1.5487 -2.3322 5.5475
S -1.7564 4.6054 1.7554
Rb 0.0000 0.5544 6.0821
S 5.0614 -2.3322 5.5475

---

[10]
! PBE-GGA RbBSb, relaxed; values from VASP
! formation energy without anion corrections = 406 meV per atom
! E_tot = -21.1 eV/cell
&SYSTEM
  ibrav = 0, nat = 6, ntyp = 3
/
ATOMIC_SPECIES
Rb 85.47 Rb.upf
B 10.81 B.upf
Sb 121.76 Sb.upf
CELL_PARAMETERS angstrom
3.8012 0.0000 0.0000
-1.9006 6.8219 0.6048
0.0000 -2.9798 6.9622
ATOMIC_POSITIONS angstrom
Rb 1.9006 4.8109 2.2012
Rb 0.0000 -0.9687 5.3658
B 0.0000 2.9378 4.1853
Sb 1.9006 2.2412 5.3254
B 1.9006 0.9044 3.3817
Sb 0.0000 1.6009 2.2416

---

[11]
! PBE-GGA RbBSb2, relaxed; values from VASP
! formation energy without anion corrections = 396 meV per atom
! E_tot = -28.6 eV/cell
&SYSTEM
  ibrav = 0, nat = 8, ntyp = 3
/
ATOMIC_SPECIES
B 10.81 B.upf
Sb 121.76 Sb.upf
Rb 85.47 Rb.upf
CELL_PARAMETERS angstrom
6.2727 0.0000 0.0000
0.0000 6.2727 0.0000
3.1364 3.1364 6.8127
ATOMIC_POSITIONS angstrom
B 3.1364 6.2727 3.4063
Sb 4.7045 5.8441 5.1095
Rb 6.2727 3.1364 3.4063
Rb 0.0000 0.0000 0.0000
Sb 3.5650 1.5682 1.7032
B 3.1364 3.1364 0.0000
Sb 7.8409 6.7013 5.1095
Sb 2.7078 4.7045 1.7032

---

[12]
! PBE-GGA Rb3BSb, relaxed; values from VASP
! formation energy without anion corrections = 784 meV per atom
! E_tot = -9.8 eV/cell
&SYSTEM
  ibrav = 0, nat = 5, ntyp = 3
/
ATOMIC_SPECIES
Rb 85.47 Rb.upf
B 10.81 B.upf
Sb 121.76 Sb.upf
CELL_PARAMETERS angstrom
-2.2667 1.1054 5.5867
-0.6707 -6.0229 0.9196
5.6553 -0.2713 2.3483
ATOMIC_POSITIONS angstrom
Rb -1.1334 0.5527 2.7933
B 0.0000 0.0000 0.0000
Sb 1.3590 -2.5944 4.4272
Rb 2.8277 -0.1356 1.1741
Rb -0.3354 -3.0115 0.4598

---

Copy entry 3 word for word.
! PBE-GGA RbUBS4, relaxed; values from VASP
! formation energy without anion corrections = -1072 meV per atom
! E_tot = -85.9 eV/cell
&SYSTEM
  ibrav = 0, nat = 14, ntyp = 4
/
ATOMIC_SPECIES
U 238.03 U.upf
Rb 85.47 Rb.upf
S 32.06 S.upf
B 10.81 B.upf
CELL_PARAMETERS angstrom
5.9826 0.0000 -0.2625
0.0000 6.3501 0.0000
-2.7140 0.0000 8.7931
ATOMIC_POSITIONS angstrom
U -0.0809 1.5875 4.7791
Rb 1.7826 4.7626 8.0373
S -1.8839 0.0351 6.2030
S -1.8839 3.1400 6.2030
S 0.8241 4.7626 4.7458
S 5.1525 3.2101 2.3276
B 2.9728 1.5875 5.6697
B 0.2957 4.7626 2.8608
S 5.1525 6.3150 2.3276
S 1.7635 4.7626 1.6106
S 2.4444 1.5875 3.7848
Rb 1.4860 1.5875 0.4933
S 1.5051 1.5875 6.9200
U 3.3495 4.7626 3.7515